# 1
The following is a GGA-PBE calculation of a relaxed structure of MgIn2Ga2, from Alexandria via LeMat-Bulk.

magnetic moment = 0.000 μB per atom
ΔH_f (0 K) = 0.07 eV/atom

abc: 4.5490 4.5490 11.7876
angles: 90.00 90.00 90.00
Space group I4/mmm (No. 139)
Asymmetric unit:
1 Mg 0.0000 0.0000 0.0000 (multiplicity 2)
2 In 0.0000 0.5000 0.2500 (multiplicity 4)
3 Ga 0.0000 0.0000 0.3960 (multiplicity 4)

# 2
The following is a GGA-PBE calculation of a relaxed structure of TbNpSc, from Alexandria via LeMat-Bulk.

magnetic moment = 0.000 μB per atom
ΔH_f (0 K) = 0.21 eV/atom

abc: 15.7145 3.4920 5.6709
angles: 90.00 95.25 90.00
Space group C2/m (No. 12)
Asymmetric unit:
1 Tb 0.1001 0.0000 0.3460 (multiplicity 4)
2 Np 0.2426 0.0000 0.8559 (multiplicity 4)
3 Sc 0.0825 0.5000 0.8426 (multiplicity 4)

# 3
The following is a GGA-PBE calculation of a relaxed structure of SrFe2Cl7, from Alexandria via LeMat-Bulk.

magnetic moment = 0.901 μB per atom

abc: 10.8087 13.3981 4.8208
angles: 90.00 90.00 90.00
Space group Cmmm (No. 65)
Asymmetric unit:
1 Sr 0.0000 0.0000 0.0000 (multiplicity 2)
2 Fe 0.2157 0.5000 0.5000 (multiplicity 4)
3 Cl 0.0000 0.5000 0.5000 (multiplicity 2)
4 Cl 0.1480 0.1297 0.5000 (multiplicity 8)
5 Cl 0.2154 0.5000 0.0000 (multiplicity 4)

# 4
The following is a GGA-PBE calculation of a relaxed structure of LaW, from Alexandria via LeMat-Bulk.

magnetic moment = 0.000 μB per atom
ΔH_f (0 K) = 0.65 eV/atom

abc: 5.0229 3.5015 16.5046
angles: 90.00 90.00 90.00
Space group Amm2 (No. 38)
Asymmetric unit:
1 La 0.0000 0.0000 0.0000 (multiplicity 2)
2 La 0.0000 0.0000 0.2865 (multiplicity 2)
3 La 0.5000 0.0000 0.4383 (multiplicity 2)
4 W 0.0000 0.0000 0.6389 (multiplicity 2)
5 W 0.5000 0.0000 0.1318 (multiplicity 2)
6 W 0.5000 0.0000 0.7416 (multiplicity 2)

# 5
The following is a GGA-PBE calculation of a relaxed structure of BaTiSb2I, from Alexandria via LeMat-Bulk.

magnetic moment = 0.260 μB per atom

abc: 6.2978 6.2978 6.3971
angles: 90.00 90.00 90.00
Space group P4/mmm (No. 123)
Asymmetric unit:
1 Ba 0.0000 0.0000 0.0000 (multiplicity 1)
2 Ti 0.5000 0.5000 0.5000 (multiplicity 1)
3 Sb 0.0000 0.5000 0.0000 (multiplicity 2)
4 I 0.0000 0.0000 0.5000 (multiplicity 1)

# 6
The following is a GGA-PBE calculation of a relaxed structure of Li2Tl3Pb4, from Alexandria via LeMat-Bulk.

magnetic moment = 0.000 μB per atom
ΔH_f (0 K) = -0.06 eV/atom

abc: 15.8452 10.9890 5.7873
angles: 90.00 98.69 90.00
Space group C2/c (No. 15)
Asymmetric unit:
1 Li 0.1044 0.1300 0.3330 (multiplicity 8)
2 Tl 0.0000 0.0978 0.7500 (multiplicity 4)
3 Tl 0.1747 0.3666 0.5566 (multiplicity 8)
4 Pb 0.0569 0.3632 0.0215 (multiplicity 8)
5 Pb 0.2082 0.1160 0.8930 (multiplicity 8)

# 7
The following is a GGA-PBE calculation of a relaxed structure of BeCu4, from Alexandria via LeMat-Bulk.

magnetic moment = 0.000 μB per atom
ΔH_f (0 K) = 0.00 eV/atom

abc: 5.5389 5.5389 3.6570
angles: 90.00 90.00 90.00
Space group I4/m (No. 87)
Asymmetric unit:
1 Be 0.0000 0.0000 0.0000 (multiplicity 2)
2 Cu 0.1055 0.2979 0.5000 (multiplicity 8)

# 8
The following is a GGA-PBE calculation of a relaxed structure of Zr2CdHg, from Alexandria via LeMat-Bulk.

magnetic moment = 0.000 μB per atom
ΔH_f (0 K) = -0.10 eV/atom

abc: 3.0939 5.1702 5.4088
angles: 90.00 90.00 90.00
Space group Pmm2 (No. 25)
Asymmetric unit:
1 Zr 0.0000 0.0000 0.0000 (multiplicity 1)
2 Zr 0.0000 0.5000 0.3575 (multiplicity 1)
3 Cd 0.5000 0.5000 0.8589 (multiplicity 1)
4 Hg 0.5000 0.0000 0.5067 (multiplicity 1)

Across the entries above, energy takes the values -2.5533 -7.7590 -4.2835 -8.2915 -3.0181 -2.9254 -4.0215 -4.6828 eV per atom, respectively.